No. 1
This record from the Alexandria database describes a geometry-optimized SrLiMnN2 structure. The functional is GGA-PBE.

D(E_F), states/eV/cell: 9.88
Magnetization, μB per formula unit: 0.9
Formation energy (no corrections), eV/atom: -0.483

Unit cell a=4.6998 b=11.0578 c=4.9153 alpha=90.00 beta=90.00 gamma=90.00
Space group Cmme (No. 67)
Asymmetric unit:
Sr 0.0000 0.2500 0.2403 [4 per cell]
Li 0.0000 0.0000 0.5000 [4 per cell]
Mn 0.2500 0.0000 0.0000 [4 per cell]
N 0.0000 0.1042 0.8071 [8 per cell]



No. 2
This record from the Alexandria database describes a geometry-optimized Zn2AgIr structure. The functional is GGA-PBE.

E_form, kJ/mol of atoms: 6
D(E_F), states/eV/cell: 1.45
Magnetization, μB per formula unit: 0.0

Unit cell a=3.2064 b=3.2064 c=5.9267 alpha=90.00 beta=90.00 gamma=90.00
Space group P4mm (No. 99)
Asymmetric unit:
Zn 0.0000 0.0000 0.0000 [1 per cell]
Zn 0.5000 0.5000 0.2510 [1 per cell]
Ag 0.0000 0.0000 0.4967 [1 per cell]
Ir 0.5000 0.5000 0.7964 [1 per cell]



No. 3
This record from the Alexandria database describes a geometry-optimized K3PmU2Se6 structure. The functional is GGA-PBE.

D(E_F), states/eV/cell: 19.85
Magnetization, μB per formula unit: 6.0
Formation energy (no corrections), eV/atom: -1.400

Unit cell a=7.3635 b=12.7544 c=8.1138 alpha=90.00 beta=107.61 gamma=90.00
Space group C2/m (No. 12)
Asymmetric unit:
K 0.0000 0.0000 0.0000 [2 per cell]
K 0.0000 0.3347 0.0000 [4 per cell]
Pm 0.0000 0.5000 0.5000 [2 per cell]
U 0.0000 0.1668 0.5000 [4 per cell]
Se 0.2307 0.0000 0.7090 [4 per cell]
Se 0.2393 0.3306 0.7093 [8 per cell]



No. 4
This record from the Alexandria database describes a geometry-optimized Nd4ErGe4 structure. The functional is GGA-PBE.

E_form, kJ/mol of atoms: -58
D(E_F), states/eV/cell: 17.57
Magnetization, μB per formula unit: 0.0

Unit cell a=9.0639 b=9.0639 c=6.1214 alpha=90.00 beta=90.00 gamma=90.00
Space group P4_2/n (No. 86, origin choice 2)
Asymmetric unit:
Nd 0.0499 0.6714 0.1178 [8 per cell]
Er 0.2500 0.2500 0.2500 [2 per cell]
Ge 0.0127 0.6301 0.6073 [8 per cell]



No. 5
This record from the Alexandria database describes a geometry-optimized Na2YBiS4 structure. The functional is GGA-PBE.

D(E_F), states/eV/cell: 0.00
Magnetization, μB per formula unit: 0.0
Formation energy (no corrections), eV/atom: -1.300

Unit cell a=7.0115 b=4.0283 c=7.1168 alpha=90.00 beta=109.04 gamma=90.00
Space group P2/m (No. 10)
Asymmetric unit:
Na 0.0000 0.0000 0.0000 [1 per cell]
Na 0.5000 0.5000 0.0000 [1 per cell]
Y 0.0000 0.5000 0.5000 [1 per cell]
Bi 0.5000 0.0000 0.5000 [1 per cell]
S 0.2365 0.0000 0.7283 [2 per cell]
S 0.2479 0.5000 0.2659 [2 per cell]



No. 6
This record from the Alexandria database describes a geometry-optimized Tm12Pd3O5 structure. The functional is GGA-PBE.

D(E_F), states/eV/cell: 149.33
Magnetization, μB per formula unit: 2.7
Formation energy (no corrections), eV/atom: -1.673

Unit cell a=14.9876 b=14.9876 c=14.9876 alpha=90.00 beta=90.00 gamma=90.00
Space group Ia-3d (No. 230)
Asymmetric unit:
Tm 0.0357 0.0546 0.6504 [96 per cell]
Pd 0.0000 0.2500 0.1250 [24 per cell]
O 0.0000 0.0000 0.0000 [16 per cell]
O 0.0000 0.2500 0.3750 [24 per cell]



No. 7
This record from the Alexandria database describes a geometry-optimized SrCo2P structure. The functional is GGA-PBE.

E_form, kJ/mol of atoms: -26
D(E_F), states/eV/cell: 4.64
Magnetization, μB per formula unit: 0.6

Unit cell a=3.7628 b=3.7628 c=5.2992 alpha=90.00 beta=90.00 gamma=90.00
Space group P4mm (No. 99)
Asymmetric unit:
Sr 0.0000 0.0000 0.0000 [1 per cell]
Co 0.0000 0.5000 0.4848 [2 per cell]
P 0.5000 0.5000 0.6758 [1 per cell]



No. 8
This record from the Alexandria database describes a geometry-optimized OsAu structure. The functional is GGA-PBE.

E_form, kJ/mol of atoms: 82
D(E_F), states/eV/cell: 5.52
Magnetization, μB per formula unit: 0.0
Relative energy among the computed polymorphs, eV per atom: 0.562

Unit cell a=2.7478 b=2.7478 c=10.2161 alpha=90.00 beta=90.00 gamma=120.00
Space group P6_3mc (No. 186)
Asymmetric unit:
Os 0.3333 0.6667 0.0000 [2 per cell]
Au 0.3333 0.6667 0.7372 [2 per cell]



No. 9
This record from the Alexandria database describes a geometry-optimized PmMgSi structure. The functional is GGA-PBE.

D(E_F), states/eV/cell: 5.57
Magnetization, μB per formula unit: 0.0
Formation energy (no corrections), eV/atom: -0.393
Relative energy among the computed polymorphs, eV per atom: 0.100

Unit cell a=6.7018 b=6.7018 c=6.7018 alpha=90.00 beta=90.00 gamma=90.00
Space group F-43m (No. 216)
Asymmetric unit:
Pm 0.0000 0.0000 0.0000 [4 per cell]
Mg 0.0000 0.0000 0.5000 [4 per cell]
Si 0.2500 0.2500 0.7500 [4 per cell]



No. 10
This record from the Alexandria database describes a geometry-optimized NdEuAlTl structure. The functional is GGA-PBE.

E_form, kJ/mol of atoms: -29
D(E_F), states/eV/cell: 38.43
Magnetization, μB per formula unit: 7.4

Unit cell a=7.7148 b=7.7148 c=7.7148 alpha=90.00 beta=90.00 gamma=90.00
Space group F-43m (No. 216)
Asymmetric unit:
Nd 0.0000 0.0000 0.0000 [4 per cell]
Eu 0.0000 0.0000 0.5000 [4 per cell]
Al 0.2500 0.2500 0.7500 [4 per cell]
Tl 0.2500 0.2500 0.2500 [4 per cell]



No. 11
This record from the Alexandria database describes a geometry-optimized AlCrSe2 structure. The functional is GGA-PBE.

D(E_F), states/eV/cell: 1.82
Magnetization, μB per formula unit: 4.6
Formation energy (no corrections), eV/atom: -0.071
Relative energy among the computed polymorphs, eV per atom: 0.313

Unit cell a=3.5890 b=7.4505 c=7.2680 alpha=90.00 beta=90.00 gamma=90.00
Space group Cmmm (No. 65)
Asymmetric unit:
Al 0.0000 0.0000 0.0000 [2 per cell]
Cr 0.0000 0.0000 0.5000 [2 per cell]
Se 0.0000 0.5000 0.2460 [4 per cell]



No. 12
This record from the Alexandria database describes a geometry-optimized HfAlTc2H structure. The functional is GGA-PBE.

D(E_F), states/eV/cell: 5.89
Magnetization, μB per formula unit: 0.0
VASP energy, eV/cell: -38.87

Unit cell a=4.1061 b=4.1061 c=3.9493 alpha=90.00 beta=90.00 gamma=90.00
Space group P4/mmm (No. 123)
Asymmetric unit:
Hf 0.0000 0.0000 0.0000 [1 per cell]
Al 0.5000 0.5000 0.0000 [1 per cell]
Tc 0.0000 0.5000 0.5000 [2 per cell]
H 0.0000 0.0000 0.5000 [1 per cell]



Question: Number 7 is which compound?
Answer: SrCo2P



Question: Among the records above, which one has the lowest D(E_F)?
Answer: Na2YBiS4